Crystalline CdRe at its relaxed geometry, computed with PBE.

Values from the calculation:
Crystal system   orthorhombic
Polymorph energy (0 for the lowest one)   0.5442 eV per atom
Formation energy   0.77 eV/atom

Cell: 4.9510 8.0502 15.0555 Å, 90.00 90.00 90.00°
Space group Fddd (No. 70, origin choice 2)
Inequivalent atoms, fractional coordinates:
Cd1 0.1250 0.2904 0.1250 x16
Re1 0.1250 0.1250 0.5417 x16

Crystalline CdRe3 at its relaxed geometry, computed with PBE.

Values from the calculation:
Crystal system   monoclinic
Polymorph energy (0 for the lowest one)   0.2133 eV per atom
Formation energy   0.49 eV/atom

Cell: 9.5346 2.8316 4.8995 Å, 90.00 101.94 90.00°
Space group C2/m (No. 12)
Inequivalent atoms, fractional coordinates:
Cd1 0.0000 0.0000 0.0000 x2
Re1 0.0000 0.5000 0.5000 x2
Re2 0.2343 0.0000 0.7208 x4

Crystalline Cd2Re at its relaxed geometry, computed with PBE.

Values from the calculation:
Crystal system   monoclinic
Polymorph energy (0 for the lowest one)   0.0401 eV per atom
Formation energy   0.46 eV/atom

Cell: 11.6190 2.8625 7.9681 Å, 90.00 116.67 90.00°
Space group C2/m (No. 12)
Inequivalent atoms, fractional coordinates:
Cd1 0.0401 0.0000 0.2356 x4
Cd2 0.1563 0.5000 0.6136 x4
Re1 0.1800 0.5000 0.0465 x4

Crystalline Cd4Re at its relaxed geometry, computed with PBE.

Values from the calculation:
Crystal system   tetragonal
Polymorph energy (0 for the lowest one)   0.0000 eV per atom
Formation energy   0.55 eV/atom

Cell: 6.8813 6.8813 4.1514 Å, 90.00 90.00 90.00°
Space group I4/m (No. 87)
Inequivalent atoms, fractional coordinates:
Cd1 0.1050 0.7092 0.0000 x8
Re1 0.0000 0.0000 0.5000 x2

Crystalline CdRe3 at its relaxed geometry, computed with PBE.

Values from the calculation:
Crystal system   cubic
Polymorph energy (0 for the lowest one)   0.4363 eV per atom
Formation energy   0.71 eV/atom

Cell: 5.0447 5.0447 5.0447 Å, 90.00 90.00 90.00°
Space group Pm-3n (No. 223)
Inequivalent atoms, fractional coordinates:
Cd1 0.0000 0.0000 0.0000 x2
Re1 0.0000 0.2500 0.5000 x6

Crystalline CdRe3 at its relaxed geometry, computed with PBE.

Values from the calculation:
Crystal system   orthorhombic
Polymorph energy (0 for the lowest one)   0.3771 eV per atom
Formation energy   0.65 eV/atom

Cell: 5.5587 8.0713 2.8315 Å, 90.00 90.00 90.00°
Space group Cmmm (No. 65)
Inequivalent atoms, fractional coordinates:
Cd1 0.0000 0.0000 0.0000 x2
Re1 0.0000 0.5000 0.0000 x2
Re2 0.2500 0.2500 0.5000 x4